Entry 1:
DFT (GGA-PBE) results for Li11Ag4Au9 after structural relaxation.

**Electronic total energy**: -2.998 eV per atom
**Crystal system**: orthorhombic
**V**: 15.9 Å³/atom
**Spin magnetization**: 0.00 μB/cell
**DFT formation energy**: -0.417 eV/atom
**Theoretical density**: 9.90 Mg/m³

CIF file:
```
data_Li11Ag4Au9
_cell_length_a 13.476
_cell_length_b 18.782
_cell_length_c 3.024
_cell_angle_alpha 90.00
_cell_angle_beta 90.00
_cell_angle_gamma 90.00
_space_group_name_H-M_alt 'C m m m'
_space_group_IT_number 65
_space_group_name_Hall '-C 2 2'
loop_
_atom_site_label
_atom_site_type_symbol
_atom_site_fract_x
_atom_site_fract_y
_atom_site_fract_z
Li1 Li 0.000 0.000 0.000
Li2 Li 0.000 0.188 0.000
Li3 Li 0.000 0.371 0.000
Li4 Li 0.200 0.000 0.000
Li5 Li 0.227 0.180 0.000
Ag1 Ag 0.174 0.421 0.500
Au1 Au 0.000 0.500 0.500
Au2 Au 0.108 0.097 0.500
Au3 Au 0.116 0.274 0.500
```

---

Entry 2:
DFT (GGA-PBE) results for BaAlMo3 after structural relaxation.

**ΔE to the lowest computed polymorph**: 143.4 kJ/mol of atoms
**Electronic total energy**: -4.584 eV per atom
**Crystal system**: cubic
**V**: 24.7 Å³/atom
**Spin magnetization**: 2.99 μB/cell
**DFT formation energy**: 3.048 eV/atom
**Theoretical density**: 6.08 Mg/m³

CIF file:
```
data_BaAlMo3
_cell_length_a 4.981
_cell_length_b 4.981
_cell_length_c 4.981
_cell_angle_alpha 90.00
_cell_angle_beta 90.00
_cell_angle_gamma 90.00
_space_group_name_H-M_alt 'P m -3 m'
_space_group_IT_number 221
_space_group_name_Hall '-P 4 2 3'
loop_
_atom_site_label
_atom_site_type_symbol
_atom_site_fract_x
_atom_site_fract_y
_atom_site_fract_z
Ba1 Ba 0.000 0.000 0.000
Al1 Al 0.500 0.500 0.500
Mo1 Mo 0.000 0.000 0.500
```

---

Entry 3:
DFT (GGA-PBE) results for Cu6Pd5Pt after structural relaxation.

**ΔE to the lowest computed polymorph**: 1.4 kJ/mol of atoms
**Electronic total energy**: -4.820 eV per atom
**Crystal system**: monoclinic
**V**: 13.9 Å³/atom
**Spin magnetization**: 0.00 μB/cell
**DFT formation energy**: -0.105 eV/atom
**Theoretical density**: 11.04 Mg/m³

CIF file:
```
data_Cu6Pd5Pt
_cell_length_a 4.738
_cell_length_b 8.206
_cell_length_c 8.725
_cell_angle_alpha 90.00
_cell_angle_beta 100.44
_cell_angle_gamma 90.00
_space_group_name_H-M_alt 'C 1 2/m 1'
_space_group_IT_number 12
_space_group_name_Hall '-C 2y'
loop_
_atom_site_label
_atom_site_type_symbol
_atom_site_fract_x
_atom_site_fract_y
_atom_site_fract_z
Cu1 Cu 0.248 0.000 0.250
Cu2 Cu 0.249 0.166 0.750
Pd1 Pd 0.000 0.167 0.000
Pd2 Pd 0.000 0.333 0.500
Pd3 Pd 0.000 0.500 0.000
Pt1 Pt 0.000 0.000 0.500
```